Record 1
Compound: Ca2MnTc
Source: Alexandria via LeMat-Bulk
Functional: GGA-PBE
Structure: optimized geometry

As for the total magnetization: 5.69 μB/f.u. The energy of formation is 0.987 eV/atom. Its crystal system is tetragonal.

a b c (Å): 6.3650 6.3650 6.3650
angles (deg): 102.31 102.31 124.99
Closest atoms and distances in Å follow each position.
Fractional positions:
1 Ca 0.1140 0.1250 0.4890  2 Tc 2.86, 2 Ca 2.94, 2 Mn 2.98
2 Ca 0.3750 0.8860 0.0110  2 Tc 2.86, 2 Ca 2.94, 2 Mn 2.98
3 Ca 0.6360 0.6250 0.5110  2 Tc 2.86, 2 Ca 2.94, 2 Mn 2.98
4 Ca 0.8750 0.3640 0.9890  2 Tc 2.86, 2 Ca 2.94, 2 Mn 2.98
5 Mn 0.2500 0.7500 0.5000  2 Tc 2.94, 4 Ca 2.98
6 Mn 0.5000 0.5000 0.0000  2 Tc 2.94, 4 Ca 2.98
7 Tc 0.0000 0.0000 0.0000  4 Ca 2.86, 2 Mn 2.94
8 Tc 0.7500 0.2500 0.5000  4 Ca 2.86, 2 Mn 2.94

Record 2
Compound: CaMn4Tc
Source: Alexandria via LeMat-Bulk
Functional: GGA-PBE
Structure: optimized geometry

As for the total magnetization: 3.53 μB/f.u. The energy of formation is 0.384 eV/atom. Its crystal system is cubic.

a b c (Å): 4.8808 4.8808 4.8808
angles (deg): 60.00 60.00 60.00
Closest atoms and distances in Å follow each position.
Fractional positions:
1 Ca 0.0000 0.0000 0.0000  12 Mn 2.86, 4 Tc 2.99
2 Mn 0.3754 0.3754 0.3754  6 Mn 2.43-2.45
3 Mn 0.3754 0.3754 0.8739  6 Mn 2.43-2.45
4 Mn 0.3754 0.8739 0.3754  6 Mn 2.43-2.45
5 Mn 0.8739 0.3754 0.3754  6 Mn 2.43-2.45
6 Tc 0.7500 0.7500 0.7500  12 Mn 2.86, 4 Ca 2.99

Record 3
Compound: CaMnTc
Source: Alexandria via LeMat-Bulk
Functional: GGA-PBE
Structure: optimized geometry

As for the total magnetization: 3.44 μB/f.u. The energy of formation is 0.663 eV/atom. Its crystal system is hexagonal.

a b c (Å): 4.7292 4.7292 2.8170
angles (deg): 90.00 90.00 120.00
Closest atoms and distances in Å follow each position.
Fractional positions:
1 Ca 0.0000 0.0000 0.0000  2 Ca 2.82, 6 Tc 3.07, 6 Mn 3.07
2 Mn 0.3333 0.6667 0.5000  3 Tc 2.73, 2 Mn 2.82
3 Tc 0.6667 0.3333 0.5000  3 Mn 2.73, 2 Tc 2.82

Record 4
Compound: Ca2MnTc
Source: Alexandria via LeMat-Bulk
Functional: GGA-PBE
Structure: optimized geometry

As for the total magnetization: 3.83 μB/f.u. The energy of formation is 0.716 eV/atom. Its crystal system is tetragonal.

a b c (Å): 4.3419 4.3419 4.5730
angles (deg): 90.00 90.00 90.00
Closest atoms and distances in Å follow each position.
Fractional positions:
1 Ca 0.0000 0.5000 0.0000  4 Ca 3.07, 4 Mn 3.15, 4 Tc 3.15
2 Ca 0.5000 0.0000 0.0000  4 Ca 3.07, 4 Mn 3.15, 4 Tc 3.15
3 Mn 0.0000 0.0000 0.5000  4 Tc 3.07, 8 Ca 3.15
4 Tc 0.5000 0.5000 0.5000  4 Mn 3.07, 8 Ca 3.15

Record 5
Compound: Ca2MnTc
Source: Alexandria via LeMat-Bulk
Functional: GGA-PBE
Structure: optimized geometry

As for the total magnetization: 5.81 μB/f.u. The energy of formation is 0.760 eV/atom. Its crystal system is tetragonal.

a b c (Å): 5.1412 5.1412 3.4949
angles (deg): 90.00 90.00 90.00
Closest atoms and distances in Å follow each position.
Fractional positions:
1 Ca 0.0000 0.5000 0.0000  4 Mn 3.11, 4 Tc 3.11
2 Ca 0.5000 0.0000 0.0000  4 Mn 3.11, 4 Tc 3.11
3 Mn 0.0000 0.0000 0.5000  8 Ca 3.11
4 Tc 0.5000 0.5000 0.5000  8 Ca 3.11

Record 6
Compound: Ca2MnTc
Source: Alexandria via LeMat-Bulk
Functional: GGA-PBE
Structure: optimized geometry

As for the total magnetization: 5.83 μB/f.u. The energy of formation is 0.749 eV/atom. Its crystal system is cubic.

a b c (Å): 5.0631 5.0631 5.0631
angles (deg): 60.00 60.00 60.00
Closest atoms and distances in Å follow each position.
Fractional positions:
1 Ca 0.2500 0.2500 0.2500  4 Tc 3.10, 4 Mn 3.10
2 Ca 0.7500 0.7500 0.7500  4 Tc 3.10, 4 Mn 3.10
3 Mn 0.0000 0.0000 0.0000  8 Ca 3.10
4 Tc 0.5000 0.5000 0.5000  8 Ca 3.10

Record 7
Compound: Ca2MnTc
Source: Alexandria via LeMat-Bulk
Functional: GGA-PBE
Structure: optimized geometry

As for the total magnetization: 5.15 μB/f.u. The energy of formation is 0.830 eV/atom. Its crystal system is trigonal.

a b c (Å): 10.2617 10.2617 10.2617
angles (deg): 18.15 18.15 18.15
Closest atoms and distances in Å follow each position.
Fractional positions:
1 Ca 0.2432 0.2432 0.2432  3 Tc 2.98, 6 Ca 3.24, 3 Mn 3.31
2 Ca 0.7568 0.7568 0.7568  3 Tc 2.98, 6 Ca 3.24, 3 Mn 3.31
3 Mn 0.0000 0.0000 0.0000  6 Mn 3.24, 6 Ca 3.31
4 Tc 0.5000 0.5000 0.5000  6 Ca 2.98, 6 Tc 3.24

Record 8
Compound: CaMnTc
Source: Alexandria via LeMat-Bulk
Functional: GGA-PBE
Structure: optimized geometry

As for the total magnetization: 6.53 μB/f.u. The energy of formation is 1.711 eV/atom. Its crystal system is cubic.

a b c (Å): 4.6700 4.6700 4.6700
angles (deg): 60.00 60.00 60.00
Closest atoms and distances in Å follow each position.
Fractional positions:
1 Ca 0.0000 0.0000 0.0000  4 Mn 2.86, 4 Tc 2.86
2 Mn 0.7500 0.7500 0.7500  4 Ca 2.86
3 Tc 0.2500 0.2500 0.2500  4 Ca 2.86

Record 9
Compound: CaMnTe
Source: Alexandria via LeMat-Bulk
Functional: GGA-PBE
Structure: optimized geometry

As for the total magnetization: 4.30 μB/f.u. The formation energy (no corrections) is -188 meV/atom. Its crystal system is tetragonal.

a b c (Å): 6.0261 6.0261 6.0261
angles (deg): 143.42 143.42 52.70
Closest atoms and distances in Å follow each position.
Fractional positions:
1 Ca 0.0000 0.0000 0.0000  5 Te 3.31-3.39, 5 Mn 3.32-3.39
2 Mn 0.6927 0.6927 0.0000  4 Te 2.95
3 Te 0.3069 0.3069 0.0000  4 Mn 2.95

Record 10
Compound: Ca3MnTe
Source: Alexandria via LeMat-Bulk
Functional: GGA-PBE
Structure: optimized geometry

As for the total magnetization: 4.78 μB/f.u. The formation energy (no corrections) is 63 meV/atom. Its crystal system is cubic.

a b c (Å): 5.8658 5.8658 5.8658
angles (deg): 90.00 90.00 90.00
Closest atoms and distances in Å follow each position.
Fractional positions:
1 Ca 0.0000 0.0000 0.5000  2 Te 2.93
2 Ca 0.0000 0.5000 0.0000  2 Te 2.93
3 Ca 0.5000 0.0000 0.0000  2 Te 2.93
4 Mn 0.5000 0.5000 0.5000  12 Ca 4.15
5 Te 0.0000 0.0000 0.0000  6 Ca 2.93

Record 11
Compound: Ca2MnTe3
Source: Alexandria via LeMat-Bulk
Functional: GGA-PBE
Structure: optimized geometry

As for the total magnetization: 5.00 μB/f.u. The formation energy (no corrections) is -1067 meV/atom. Its crystal system is orthorhombic.

a b c (Å): 8.1875 4.3570 21.5094
angles (deg): 90.00 90.00 90.00
Closest atoms and distances in Å follow each position.
Fractional positions:
1 Ca 0.0595 0.2500 0.1994  6 Te 3.16-3.34
2 Ca 0.2445 0.7500 0.4969  6 Te 3.17-3.27
3 Ca 0.2555 0.2500 0.9969  6 Te 3.17-3.27
4 Ca 0.4405 0.7500 0.6994  6 Te 3.16-3.34
5 Ca 0.5595 0.2500 0.3006  6 Te 3.16-3.34
6 Ca 0.7445 0.7500 0.0031  6 Te 3.17-3.27
7 Ca 0.7555 0.2500 0.5031  6 Te 3.17-3.27
8 Ca 0.9405 0.7500 0.8006  6 Te 3.16-3.34
9 Mn 0.1041 0.2500 0.6325  4 Te 2.67-2.77
10 Mn 0.3959 0.7500 0.1325  4 Te 2.67-2.77
11 Mn 0.6041 0.2500 0.8675  4 Te 2.67-2.77
12 Mn 0.8959 0.7500 0.3675  4 Te 2.67-2.77
13 Te 0.0680 0.2500 0.4097  2 Mn 2.75
14 Te 0.0851 0.7500 0.0822  1 Mn 2.77
15 Te 0.1906 0.2500 0.7524  1 Mn 2.67
16 Te 0.3094 0.7500 0.2524  1 Mn 2.67
17 Te 0.4149 0.2500 0.5822  1 Mn 2.77
18 Te 0.4320 0.7500 0.9097  2 Mn 2.75
19 Te 0.5680 0.2500 0.0903  2 Mn 2.75
20 Te 0.5851 0.7500 0.4178  1 Mn 2.77
21 Te 0.6906 0.2500 0.7476  1 Mn 2.67
22 Te 0.8094 0.7500 0.2476  1 Mn 2.67
23 Te 0.9149 0.2500 0.9178  1 Mn 2.77
24 Te 0.9320 0.7500 0.5903  2 Mn 2.75

Record 12
Compound: Ca2MnTe
Source: Alexandria via LeMat-Bulk
Functional: GGA-PBE
Structure: optimized geometry

As for the total magnetization: 4.47 μB/f.u. The formation energy (no corrections) is -168 meV/atom. Its crystal system is tetragonal.

a b c (Å): 3.8193 3.8193 8.2305
angles (deg): 90.00 90.00 90.00
Closest atoms and distances in Å follow each position.
Fractional positions:
1 Ca 0.0000 0.0000 0.0000  1 Mn 3.29, 4 Te 3.30
2 Ca 0.5000 0.5000 0.3720  1 Te 3.28, 4 Mn 3.29
3 Mn 0.0000 0.0000 0.6000  4 Te 3.04, 5 Ca 3.29
4 Te 0.5000 0.5000 0.7701  4 Mn 3.04, 5 Ca 3.28-3.30